(1)
# PBE KAlHg2, optimized geometry
# ρ = 7.22 g cm⁻³
# relative energy among the computed polymorphs = 202.7 meV/atom
# crystal system = cubic
data_KAlHg2
_chemical_formula_sum 'K4 Al4 Hg8'
_space_group_name_H-M_alt 'F -4 3 m'
_space_group_IT_number 216
_space_group_name_Hall 'F -4 2 3'
_cell_length_a 7.549
_cell_length_b 7.549
_cell_length_c 7.549
_cell_angle_alpha 90.00
_cell_angle_beta 90.00
_cell_angle_gamma 90.00
loop_
_atom_site_label
_atom_site_fract_x
_atom_site_fract_y
_atom_site_fract_z
_atom_site_occupancy
K1 0.000 0.000 0.000 1
Al1 0.250 0.250 0.750 1
Hg1 0.000 0.000 0.500 1
Hg2 0.250 0.250 0.250 1

---

(2)
# PBE K4IrSe, optimized geometry
# ρ = 3.89 g cm⁻³
# formation energy from raw total energies = 0.636 eV per atom
# crystal system = cubic
data_K4IrSe
_chemical_formula_sum 'K16 Ir4 Se4'
_space_group_name_H-M_alt 'F -4 3 m'
_space_group_IT_number 216
_space_group_name_Hall 'F -4 2 3'
_cell_length_a 9.004
_cell_length_b 9.004
_cell_length_c 9.004
_cell_angle_alpha 90.00
_cell_angle_beta 90.00
_cell_angle_gamma 90.00
loop_
_atom_site_label
_atom_site_fract_x
_atom_site_fract_y
_atom_site_fract_z
_atom_site_occupancy
K1 0.124 0.124 0.124 1
Ir1 0.000 0.000 0.500 1
Se1 0.250 0.250 0.750 1

---

(3)
# PBE Pu2ReN5, optimized geometry
# ρ = 10.33 g cm⁻³
# formation energy from raw total energies = -0.569 eV per atom
# crystal system = orthorhombic
data_Pu2ReN5
_chemical_formula_sum 'Pu8 Re4 N20'
_space_group_name_H-M_alt 'C m c m'
_space_group_IT_number 63
_space_group_name_Hall '-C 2c 2'
_cell_length_a 4.043
_cell_length_b 11.197
_cell_length_c 10.572
_cell_angle_alpha 90.00
_cell_angle_beta 90.00
_cell_angle_gamma 90.00
loop_
_atom_site_label
_atom_site_fract_x
_atom_site_fract_y
_atom_site_fract_z
_atom_site_occupancy
Pu1 0.000 0.146 0.074 1
Re1 0.000 0.165 0.750 1
N1 0.000 0.054 0.623 1
N2 0.000 0.277 0.250 1
N3 0.000 0.298 0.574 1

---

(4)
# PBE KZnPb2, optimized geometry
# ρ = 6.21 g cm⁻³
# relative energy among the computed polymorphs = 19.9 meV/atom
# crystal system = trigonal
data_KZnPb2
_chemical_formula_sum 'K3 Zn3 Pb6'
_space_group_name_H-M_alt 'R 3 m'
_space_group_IT_number 160
_space_group_name_Hall 'R 3 -2"'
_cell_length_a 4.7374
_cell_length_b 4.7374
_cell_length_c 21.4049
_cell_angle_alpha 90.00
_cell_angle_beta 90.00
_cell_angle_gamma 120.00
loop_
_atom_site_label
_atom_site_fract_x
_atom_site_fract_y
_atom_site_fract_z
_atom_site_occupancy
K1 0.0000 0.0000 0.0000 1
Zn1 0.0000 0.0000 0.1767 1
Pb1 0.0000 0.0000 0.5533 1
Pb2 0.0000 0.0000 0.7897 1

---

(5)
# PBE ZrCuW2, optimized geometry
# ρ = 13.17 g cm⁻³
# relative energy among the computed polymorphs = 184.7 meV/atom
# crystal system = orthorhombic
data_ZrCuW2
_chemical_formula_sum 'Zr2 Cu2 W4'
_space_group_name_H-M_alt 'C m m m'
_space_group_IT_number 65
_space_group_name_Hall '-C 2 2'
_cell_length_a 3.423
_cell_length_b 4.315
_cell_length_c 8.917
_cell_angle_alpha 90.00
_cell_angle_beta 90.00
_cell_angle_gamma 90.00
loop_
_atom_site_label
_atom_site_fract_x
_atom_site_fract_y
_atom_site_fract_z
_atom_site_occupancy
Zr1 0.000 0.000 0.000 1
Cu1 0.000 0.000 0.500 1
W1 0.000 0.500 0.275 1

---

(6)
# PBE HfBeTe2, optimized geometry
# ρ = 6.81 g cm⁻³
# formation energy from raw total energies = -0.043 eV per atom
# crystal system = trigonal
data_HfBeTe2
_chemical_formula_sum 'Hf3 Be3 Te6'
_space_group_name_H-M_alt 'R -3 m'
_space_group_IT_number 166
_space_group_name_Hall '-R 3 2"'
_cell_length_a 3.8770
_cell_length_b 3.8770
_cell_length_c 24.8895
_cell_angle_alpha 90.00
_cell_angle_beta 90.00
_cell_angle_gamma 120.00
loop_
_atom_site_label
_atom_site_fract_x
_atom_site_fract_y
_atom_site_fract_z
_atom_site_occupancy
Hf1 0.0000 0.0000 0.0000 1
Be1 0.0000 0.0000 0.5000 1
Te1 0.0000 0.0000 0.4067 1

---

(7)
# PBE Ac2Pr5SmDy, optimized geometry
# ρ = 7.17 g cm⁻³
# total DFT energy (no corrections) = -4.48 eV/atom
# crystal system = orthorhombic
data_Ac2Pr5SmDy
_chemical_formula_sum 'Ac8 Pr20 Sm4 Dy4'
_space_group_name_H-M_alt 'C m c 21'
_space_group_IT_number 36
_space_group_name_Hall 'C 2c -2'
_cell_length_a 5.879
_cell_length_b 20.953
_cell_length_c 11.060
_cell_angle_alpha 90.00
_cell_angle_beta 90.00
_cell_angle_gamma 90.00
loop_
_atom_site_label
_atom_site_fract_x
_atom_site_fract_y
_atom_site_fract_z
_atom_site_occupancy
Ac1 0.000 0.112 0.000 1
Ac2 0.000 0.118 0.585 1
Pr1 0.000 0.019 0.289 1
Pr2 0.000 0.282 0.575 1
Pr3 0.000 0.294 0.965 1
Pr4 0.000 0.392 0.290 1
Pr5 0.000 0.482 0.010 1
Sm1 0.000 0.206 0.274 1
Dy1 0.000 0.408 0.733 1

---

(8)
# PBE Mg3Ga2Pb, optimized geometry
# ρ = 5.32 g cm⁻³
# total DFT energy (no corrections) = -2.52 eV/atom
# crystal system = tetragonal
data_Mg3Ga2Pb
_chemical_formula_sum 'Mg3 Ga2 Pb1'
_space_group_name_H-M_alt 'P 4/m m m'
_space_group_IT_number 123
_space_group_name_Hall '-P 4 2'
_cell_length_a 3.456
_cell_length_b 3.456
_cell_length_c 10.964
_cell_angle_alpha 90.00
_cell_angle_beta 90.00
_cell_angle_gamma 90.00
loop_
_atom_site_label
_atom_site_fract_x
_atom_site_fract_y
_atom_site_fract_z
_atom_site_occupancy
Mg1 0.000 0.000 0.000 1
Mg2 0.000 0.000 0.296 1
Ga1 0.500 0.500 0.150 1
Pb1 0.500 0.500 0.500 1

---

- Which value of ρ does entry 4 give?
  6.21 g cm⁻³

---

- What is the formula in the third record?
  Pu2ReN5